[1]
# In2SiAs | Alexandria via LeMat-Bulk | meta-GGA SCAN | PBEsol geometry
# electronic total energy: -24.02 eV per atom
# magnetic moment: 0.00 μB per cell
# calculated density: 6.3 g cm⁻³
# SG: C2/m, No. 12
# relative energy among the computed polymorphs: 0 meV per atom
# DOS(E_F): 0.43 states/eV/atom
data_In2SiAs
_cell_length_a 3.955
_cell_length_b 3.955
_cell_length_c 6.871
_cell_angle_alpha 106.84
_cell_angle_beta 106.84
_cell_angle_gamma 60.33
_symmetry_space_group_name_H-M 'P 1'
_symmetry_Int_Tables_number 1
loop_
_symmetry_equiv_pos_as_xyz
'x,y,z'
loop_
_atom_site_label
_atom_site_fract_x
_atom_site_fract_y
_atom_site_fract_z
_atom_site_occupancy
In1 0.249 0.249 0.247 1
In2 0.751 0.751 0.753 1
Si1 0.500 0.500 0.000 1
As1 0.000 0.000 0.500 1

[2]
# Sr3Ca2P3O12F | Alexandria via LeMat-Bulk | meta-GGA SCAN | PBEsol geometry
# electronic total energy: -12.62 eV per atom
# magnetic moment: 0.00 μB per cell
# calculated density: 3.8 g cm⁻³
# SG: P1, No. 1
# DOS(E_F): 0.00 states/eV/atom
data_Sr3Ca2P3O12F
_cell_length_a 7.101
_cell_length_b 9.526
_cell_length_c 9.550
_cell_angle_alpha 119.82
_cell_angle_beta 90.12
_cell_angle_gamma 90.14
_symmetry_space_group_name_H-M 'P 1'
_symmetry_Int_Tables_number 1
loop_
_symmetry_equiv_pos_as_xyz
'x,y,z'
loop_
_atom_site_label
_atom_site_fract_x
_atom_site_fract_y
_atom_site_fract_z
_atom_site_occupancy
Sr1 0.000 0.000 0.000 1
Sr2 0.003 0.224 0.736 1
Sr3 0.009 0.498 0.227 1
Sr4 0.252 0.573 0.656 1
Sr5 0.498 0.256 0.226 1
Sr6 0.753 0.907 0.318 1
Ca1 0.254 0.919 0.318 1
Ca2 0.503 0.985 0.728 1
Ca3 0.508 0.484 0.979 1
Ca4 0.749 0.577 0.654 1
P1 0.001 0.275 0.389 1
P2 0.007 0.843 0.616 1
P3 0.009 0.608 0.958 1
P4 0.504 0.870 0.016 1
P5 0.507 0.209 0.586 1
P6 0.509 0.638 0.353 1
O1 0.016 0.090 0.323 1
O2 0.022 0.902 0.492 1
O3 0.028 0.733 0.140 1
O4 0.184 0.341 0.354 1
O5 0.187 0.890 0.724 1
O6 0.190 0.504 0.894 1
O7 0.329 0.981 0.068 1
O8 0.333 0.157 0.647 1
O9 0.351 0.545 0.228 1
O10 0.472 0.823 0.444 1
O11 0.490 0.128 0.400 1
O12 0.491 0.766 0.100 1
O13 0.516 0.764 0.830 1
O14 0.522 0.396 0.669 1
O15 0.522 0.575 0.474 1
O16 0.680 0.979 0.084 1
O17 0.682 0.136 0.623 1
O18 0.691 0.606 0.253 1
O19 0.834 0.920 0.728 1
O20 0.835 0.312 0.308 1
O21 0.840 0.494 0.929 1
O22 0.973 0.366 0.575 1
O23 0.979 0.698 0.860 1
O24 0.985 0.656 0.529 1
F1 0.051 0.241 0.991 1
F2 0.534 0.233 0.960 1

[3]
# RbSc3Ni | Alexandria via LeMat-Bulk | meta-GGA SCAN | PBEsol geometry
# electronic total energy: -14.12 eV per atom
# magnetic moment: 0.00 μB per cell
# calculated density: 4.1 g cm⁻³
# SG: Pm-3m, No. 221
# ΔH_f (0 K): 1.808 eV per atom
# DOS(E_F): 0.61 states/eV/atom
data_RbSc3Ni
_cell_length_a 4.828
_cell_length_b 4.828
_cell_length_c 4.828
_cell_angle_alpha 90.00
_cell_angle_beta 90.00
_cell_angle_gamma 90.00
_symmetry_space_group_name_H-M 'P 1'
_symmetry_Int_Tables_number 1
loop_
_symmetry_equiv_pos_as_xyz
'x,y,z'
loop_
_atom_site_label
_atom_site_fract_x
_atom_site_fract_y
_atom_site_fract_z
_atom_site_occupancy
Rb1 0.000 0.000 0.000 1
Sc1 0.000 0.000 0.500 1
Sc2 0.000 0.500 0.000 1
Sc3 0.500 0.000 0.000 1
Ni1 0.500 0.500 0.500 1

[4]
# Cr2NiSe | Alexandria via LeMat-Bulk | meta-GGA SCAN | PBEsol geometry
# electronic total energy: -17.90 eV per atom
# magnetic moment: 0.00 μB per cell
# calculated density: 8.1 g cm⁻³
# SG: C2/m, No. 12
# DOS(E_F): 0.93 states/eV/atom
data_Cr2NiSe
_cell_length_a 4.413
_cell_length_b 4.413
_cell_length_c 4.055
_cell_angle_alpha 98.06
_cell_angle_beta 98.06
_cell_angle_gamma 39.16
_symmetry_space_group_name_H-M 'P 1'
_symmetry_Int_Tables_number 1
loop_
_symmetry_equiv_pos_as_xyz
'x,y,z'
loop_
_atom_site_label
_atom_site_fract_x
_atom_site_fract_y
_atom_site_fract_z
_atom_site_occupancy
Cr1 0.239 0.239 0.209 1
Cr2 0.761 0.761 0.791 1
Ni1 0.500 0.500 0.000 1
Se1 0.000 0.000 0.500 1